a.
Compound: PrNbNO
Source: OQMD
Functional: PBE-GGA
Structure: relaxed

a = 5.0613 Å, b = 5.0613 Å, c = 4.6255 Å
α = 90.01°, β = 90.01°, γ = 92.43°
Closest atoms and distances in Å follow each position.
Atoms (fractional coordinates):
N 0.7577 0.7577 0.4975  2 Nb 2.34-2.36, 4 Pr 2.53
N 0.2451 0.2451 0.5037  2 Nb 2.33-2.37, 4 Pr 2.53
Nb 0.1874 0.1874 0.9997  2 O 2.23, 2 N 2.33-2.37
Nb 0.8148 0.8148 0.9998  2 O 2.19, 2 N 2.34-2.36
O 0.7517 0.2401 0.9997  2 Nb 2.19-2.23, 2 Pr 2.31-2.32
O 0.2401 0.7517 0.9997  2 Nb 2.19-2.23, 2 Pr 2.31-2.32
Pr 0.7459 0.2573 0.4999  2 O 2.31-2.32, 4 N 2.53
Pr 0.2573 0.7459 0.4999  2 O 2.31-2.32, 4 N 2.53

Calculated values
Crystal system: monoclinic
Space-group type: Cm

---

b.
Compound: PrNbNO
Source: OQMD
Functional: PBE-GGA
Structure: relaxed

a = 4.1444 Å, b = 4.1444 Å, c = 8.3284 Å
α = 90.00°, β = 90.00°, γ = 90.00°
Closest atoms and distances in Å follow each position.
Atoms (fractional coordinates):
N 0.0000 0.5000 0.4446  4 Nb 2.12
N 0.5000 0.0000 0.5554  4 Nb 2.12
Nb 0.0000 0.0000 0.5000  4 N 2.12
Nb 0.5000 0.5000 0.5000  4 N 2.12
O 0.0000 0.0000 0.0000  4 Pr 2.36
O 0.5000 0.5000 0.0000  4 Pr 2.36
Pr 0.0000 0.5000 0.1364  4 O 2.36, 1 N 2.57
Pr 0.5000 0.0000 0.8636  4 O 2.36, 1 N 2.57

Calculated values
Crystal system: tetragonal
Space-group type: P4/nmm

---

Of them, a has the lowest stability.